Density functional theory data (GGA-PBE) for a relaxed LiP2Pt crystal.

Computed properties:
Distance to the lowest polymorph of the same formula ... 318 meV/atom
SG ... Pmm2
ΔE_f ... -0.14 eV/atom
Size of the total moment ... 0.00 μB per cell

The structure in POSCAR format:
```
LiP2Pt
1.0
-1.874 -1.589 -1.380
-1.418 -1.333 3.459
-3.369 3.876 0.112
Li P Pt
1 2 1
Direct
0.500 0.500 0.792
0.000 0.000 0.953
0.500 0.500 0.292
0.000 0.000 0.463
```



Density functional theory data (GGA-PBE) for a relaxed LiPu2P3Pt12 crystal.

Computed properties:
SG ... R-3m
ΔE_f ... -0.37 eV/atom
Size of the total moment ... 10.05 μB per cell

The structure in POSCAR format:
```
LiPu2P3Pt12
1.0
-1.125 3.225 6.688
-6.795 3.108 0.744
-4.615 -3.877 4.479
Li Pu P Pt
1 2 3 12
Direct
0.000 0.000 0.000
0.614 0.614 0.614
0.386 0.386 0.386
0.500 0.000 0.000
0.000 0.500 0.000
0.000 0.000 0.500
0.349 0.349 0.894
0.870 0.870 0.370
0.370 0.870 0.870
0.894 0.349 0.349
0.870 0.370 0.870
0.349 0.894 0.349
0.651 0.651 0.106
0.130 0.130 0.630
0.630 0.130 0.130
0.106 0.651 0.651
0.130 0.630 0.130
0.651 0.106 0.651
```